Material: AcReIr
Method: DFT, PBE
State: optimized geometry

a = 4.7972 Å, b = 3.3912 Å, c = 11.5300 Å
α = 90.00°, β = 90.00°, γ = 135.02°
Last column: nearest neighbours and their distance in Å.
Fractional positions:
Ir 0.1948 0.3896 0.5000  8 Re 2.70
Ir 0.6939 0.3879 0.0000  8 Ac 3.15, 4 Ir 3.39
Ac 0.1942 0.3884 0.8228  4 Ir 3.15, 4 Ac 3.39, 4 Re 3.45-3.46
Ac 0.1942 0.3884 0.1772  4 Ir 3.15, 4 Ac 3.39, 4 Re 3.45-3.46
Re 0.6947 0.3895 0.6070  1 Re 2.47, 4 Ir 2.70
Re 0.6947 0.3895 0.3930  1 Re 2.47, 4 Ir 2.70

## Properties
Spin magnetization = 0.00 μB per formula unit
Final energy = -0.2977 hartree per atom